[1]
Computed, not measured: a relaxed Mg3Ag13 crystal at the PBE-GGA level of DFT.

Unit cell a=5.9311 b=5.9311 c=8.2072 alpha=90.00 beta=90.00 gamma=91.99
Closest atoms and distances in Å follow each position.
Atoms (fractional coordinates):
Mg (0.0085, 0.9915, 0.2575)  11 Ag 2.87-2.99, 1 Mg 3.16
Mg (0.7324, 0.2676, 0.0000)  10 Ag 2.86-2.99, 2 Mg 3.16
Mg (0.0085, 0.9915, 0.7425)  11 Ag 2.87-2.99, 1 Mg 3.16
Ag (0.5055, 0.0031, 0.2494)  3 Mg 2.88-2.99, 9 Ag 2.89-2.99
Ag (0.4979, 0.5021, 0.2484)  1 Mg 2.86, 11 Ag 2.91-3.00
Ag (0.9969, 0.4945, 0.2494)  3 Mg 2.88-2.99, 9 Ag 2.89-2.99
Ag (0.7567, 0.7649, 0.0000)  4 Mg 2.89-2.99, 8 Ag 2.92-3.00
Ag (0.2351, 0.2433, 0.0000)  4 Mg 2.89-2.99, 8 Ag 2.92-3.00
Ag (0.2510, 0.7490, 0.0000)  10 Ag 2.93-3.00, 2 Mg 2.96
Ag (0.5055, 0.0031, 0.7506)  3 Mg 2.88-2.99, 9 Ag 2.89-2.99
Ag (0.4979, 0.5021, 0.7516)  1 Mg 2.86, 11 Ag 2.91-3.00
Ag (0.9969, 0.4945, 0.7506)  3 Mg 2.88-2.99, 9 Ag 2.89-2.99
Ag (0.7526, 0.2474, 0.5000)  10 Ag 2.89-3.00, 2 Mg 2.95
Ag (0.7507, 0.7475, 0.5000)  2 Mg 2.87, 10 Ag 2.91-2.97
Ag (0.2525, 0.2493, 0.5000)  2 Mg 2.87, 10 Ag 2.91-2.97
Ag (0.2515, 0.7485, 0.5000)  2 Mg 2.87, 10 Ag 2.94-2.97

Output
DFT total energy = -2.71 eV per atom
D(E_F) = 4.5 states/eV/f.u.
space-group type = No. 38
DFT formation energy = -0.095 eV per atom
total magnetization = 0.00 μB per formula unit

[2]
Computed, not measured: a relaxed MgAg5 crystal at the PBE-GGA level of DFT.

Unit cell a=5.6741 b=5.6741 c=11.3409 alpha=141.46 beta=141.46 gamma=30.35
Closest atoms and distances in Å follow each position.
Atoms (fractional coordinates):
Ag (0.9994, 0.9994, 0.9985)  9 Ag 2.89-2.97, 3 Mg 2.95-2.99
Ag (0.1124, 0.1124, 0.7252)  10 Ag 2.91-2.99, 2 Mg 2.94
Ag (0.3344, 0.3344, 0.6670)  1 Mg 2.89, 11 Ag 2.92-2.99
Ag (0.4446, 0.4446, 0.3879)  10 Ag 2.89-2.97, 2 Mg 2.91
Ag (0.6636, 0.6636, 0.3300)  2 Mg 2.90, 10 Ag 2.92-2.97
Mg (0.7790, 0.7790, 0.0581)  10 Ag 2.89-2.99, 2 Mg 2.97

Output
DFT total energy = -2.71 eV per atom
D(E_F) = 1.3 states/eV/f.u.
space-group type = No. 8
DFT formation energy = -0.069 eV per atom
total magnetization = 0.00 μB per formula unit

[3]
Computed, not measured: a relaxed Mg3Ag13 crystal at the PBE-GGA level of DFT.

Unit cell a=6.0057 b=6.9451 c=6.9451 alpha=93.42 beta=90.00 gamma=90.00
Closest atoms and distances in Å follow each position.
Atoms (fractional coordinates):
Mg (0.7466, 0.0323, 0.9677)  9 Ag 2.87-2.96, 3 Mg 2.96-3.13
Mg (0.0000, 0.3028, 0.6972)  10 Ag 2.84-3.01, 2 Mg 3.13
Mg (0.2534, 0.0323, 0.9677)  9 Ag 2.87-2.96, 3 Mg 2.96-3.13
Ag (0.7520, 0.9646, 0.5438)  10 Ag 2.89-3.03, 2 Mg 2.93-2.95
Ag (0.7491, 0.5409, 0.4591)  1 Mg 2.84, 11 Ag 2.92-3.01
Ag (0.7520, 0.4562, 0.0354)  10 Ag 2.89-3.03, 2 Mg 2.93-2.95
Ag (0.0000, 0.7150, 0.7899)  3 Mg 2.89-2.90, 9 Ag 2.92-3.00
Ag (0.0000, 0.2101, 0.2850)  3 Mg 2.89-2.90, 9 Ag 2.92-3.00
Ag (0.0000, 0.7892, 0.2108)  2 Mg 2.89, 10 Ag 2.93-3.00
Ag (0.2480, 0.9646, 0.5438)  10 Ag 2.89-3.03, 2 Mg 2.93-2.95
Ag (0.2509, 0.5409, 0.4591)  1 Mg 2.84, 11 Ag 2.92-3.01
Ag (0.2480, 0.4562, 0.0354)  10 Ag 2.89-3.03, 2 Mg 2.93-2.95
Ag (0.5000, 0.2858, 0.7142)  8 Ag 2.89-2.98, 4 Mg 2.96-3.01
Ag (0.5000, 0.7096, 0.7897)  2 Mg 2.90, 10 Ag 2.93-3.00
Ag (0.5000, 0.2103, 0.2904)  2 Mg 2.90, 10 Ag 2.93-3.00
Ag (0.5000, 0.7891, 0.2109)  2 Mg 2.87, 10 Ag 2.92-3.00

Output
DFT total energy = -2.69 eV per atom
D(E_F) = 3.3 states/eV/f.u.
space-group type = No. 38
DFT formation energy = -0.075 eV per atom
total magnetization = 0.00 μB per formula unit

[4]
Computed, not measured: a relaxed Mg3Ag8 crystal at the PBE-GGA level of DFT.

Unit cell a=3.9903 b=5.1491 c=10.8651 alpha=104.17 beta=90.00 gamma=112.80
Closest atoms and distances in Å follow each position.
Atoms (fractional coordinates):
Mg (0.0000, 0.0000, 0.0000)  12 Ag 2.90-3.02
Mg (0.9026, 0.8052, 0.3583)  11 Ag 2.87-3.02, 1 Mg 3.14
Mg (0.0974, 0.1948, 0.6417)  11 Ag 2.87-3.02, 1 Mg 3.14
Ag (0.7252, 0.4503, 0.0894)  4 Mg 2.90-3.02, 8 Ag 2.91-3.00
Ag (0.2748, 0.5497, 0.9106)  4 Mg 2.90-3.02, 8 Ag 2.91-3.00
Ag (0.5459, 0.0919, 0.8189)  4 Mg 2.90-2.91, 8 Ag 2.91-3.02
Ag (0.4541, 0.9081, 0.1811)  4 Mg 2.90-2.91, 8 Ag 2.91-3.02
Ag (0.8195, 0.6391, 0.7274)  4 Mg 2.87-3.02, 8 Ag 2.91-3.03
Ag (0.1805, 0.3609, 0.2726)  4 Mg 2.87-3.02, 8 Ag 2.91-3.03
Ag (0.6322, 0.2644, 0.4544)  7 Ag 2.93-3.03, 5 Mg 2.93-3.02
Ag (0.3678, 0.7356, 0.5456)  7 Ag 2.93-3.03, 5 Mg 2.93-3.02

Output
DFT total energy = -2.66 eV per atom
D(E_F) = 2.6 states/eV/f.u.
space-group type = No. 12
DFT formation energy = -0.155 eV per atom
total magnetization = 0.00 μB per formula unit

[5]
Computed, not measured: a relaxed Mg3Ag crystal at the PBE-GGA level of DFT.

Unit cell a=3.3625 b=3.6216 c=6.6971 alpha=90.00 beta=90.00 gamma=90.00
Closest atoms and distances in Å follow each position.
Atoms (fractional coordinates):
Mg (0.0000, 0.0000, 0.5000)  10 Mg 3.07-3.36, 2 Ag 3.35
Mg (0.5000, 0.5000, 0.2269)  4 Ag 2.90, 5 Mg 3.04-3.07
Mg (0.5000, 0.5000, 0.7731)  4 Ag 2.90, 5 Mg 3.04-3.07
Ag (0.0000, 0.0000, 0.0000)  8 Mg 2.90

Output
DFT total energy = -2.02 eV per atom
D(E_F) = 1.1 states/eV/f.u.
space-group type = No. 47
DFT formation energy = -0.113 eV per atom
total magnetization = 0.00 μB per formula unit

[6]
Computed, not measured: a relaxed Mg3Ag7 crystal at the PBE-GGA level of DFT.

Unit cell a=4.2557 b=5.8116 c=7.8505 alpha=103.87 beta=105.73 gamma=90.00
Closest atoms and distances in Å follow each position.
Atoms (fractional coordinates):
Mg (0.0000, 0.0000, 0.0000)  12 Ag 2.91-2.97
Mg (0.8036, 0.3817, 0.6073)  10 Ag 2.86-2.97, 2 Mg 3.19
Mg (0.1964, 0.6183, 0.3927)  10 Ag 2.86-2.97, 2 Mg 3.19
Ag (0.0000, 0.5000, 0.0000)  4 Mg 2.87-2.91, 8 Ag 2.94-2.99
Ag (0.7998, 0.8850, 0.5997)  5 Mg 2.86-2.94, 7 Ag 2.94-3.10
Ag (0.2002, 0.1150, 0.4003)  5 Mg 2.86-2.94, 7 Ag 2.94-3.10
Ag (0.6022, 0.3116, 0.2043)  7 Ag 2.90-2.99, 5 Mg 2.91-2.97
Ag (0.3978, 0.6884, 0.7957)  7 Ag 2.90-2.99, 5 Mg 2.91-2.97
Ag (0.5994, 0.8094, 0.1988)  8 Ag 2.90-2.95, 4 Mg 2.95-2.97
Ag (0.4006, 0.1906, 0.8012)  8 Ag 2.90-2.95, 4 Mg 2.95-2.97

Output
DFT total energy = -2.64 eV per atom
D(E_F) = 3.2 states/eV/f.u.
space-group type = No. 12
DFT formation energy = -0.162 eV per atom
total magnetization = 0.00 μB per formula unit

[7]
Computed, not measured: a relaxed Mg2Ag13 crystal at the PBE-GGA level of DFT.

Unit cell a=7.4656 b=7.4656 c=7.9873 alpha=62.14 beta=62.14 gamma=60.00
Closest atoms and distances in Å follow each position.
Atoms (fractional coordinates):
Mg (0.6322, 0.6322, 0.1035)  7 Ag 2.67-2.78
Mg (0.3678, 0.3678, 0.8965)  7 Ag 2.67-2.78
Ag (0.5000, 0.5000, 0.5000)  2 Mg 2.67, 6 Ag 2.86
Ag (0.9961, 0.6134, 0.7771)  2 Mg 2.75-2.78, 5 Ag 2.82-2.86
Ag (0.6134, 0.6134, 0.7771)  2 Mg 2.75-2.78, 5 Ag 2.82-2.86
Ag (0.6134, 0.9961, 0.7771)  2 Mg 2.75-2.78, 5 Ag 2.82-2.86
Ag (0.3866, 0.0039, 0.2229)  2 Mg 2.75-2.78, 5 Ag 2.82-2.86
Ag (0.0039, 0.3866, 0.2229)  2 Mg 2.75-2.78, 5 Ag 2.82-2.86
Ag (0.3866, 0.3866, 0.2229)  2 Mg 2.75-2.78, 5 Ag 2.82-2.86
Ag (0.1322, 0.7559, 0.3560)  6 Ag 2.81-2.86
Ag (0.7559, 0.7559, 0.3560)  6 Ag 2.81-2.86
Ag (0.7559, 0.1322, 0.3560)  6 Ag 2.81-2.86
Ag (0.2441, 0.8678, 0.6440)  6 Ag 2.81-2.86
Ag (0.8678, 0.2441, 0.6440)  6 Ag 2.81-2.86
Ag (0.2441, 0.2441, 0.6440)  6 Ag 2.81-2.86

Output
DFT total energy = -2.50 eV per atom
D(E_F) = 5.5 states/eV/f.u.
space-group type = No. 166
DFT formation energy = 0.188 eV per atom
total magnetization = 0.00 μB per formula unit

[8]
Computed, not measured: a relaxed Mg3Ag crystal at the PBE-GGA level of DFT.

Unit cell a=3.1592 b=4.8658 c=5.3071 alpha=90.00 beta=90.00 gamma=90.00
Closest atoms and distances in Å follow each position.
Atoms (fractional coordinates):
Mg (0.0000, 0.5000, 0.3294)  2 Ag 3.00, 10 Mg 3.02-3.16
Mg (0.5000, 0.0000, 0.4945)  8 Mg 3.03-3.16, 4 Ag 3.07-3.11
Mg (0.5000, 0.5000, 0.8444)  4 Ag 3.01, 8 Mg 3.02-3.16
Ag (0.0000, 0.0000, 0.9984)  10 Mg 3.00-3.11, 2 Ag 3.16

Output
DFT total energy = -2.00 eV per atom
D(E_F) = 1.3 states/eV/f.u.
space-group type = No. 25
DFT formation energy = -0.093 eV per atom
total magnetization = 0.00 μB per formula unit

[9]
Computed, not measured: a relaxed MgAg5 crystal at the PBE-GGA level of DFT.

Unit cell a=5.0967 b=5.0967 c=4.7961 alpha=90.00 beta=90.00 gamma=120.00
Closest atoms and distances in Å follow each position.
Atoms (fractional coordinates):
Ag (0.9993, 0.9993, 0.0000)  10 Ag 2.94-2.95, 2 Mg 2.94
Ag (0.6667, 0.3341, 0.0000)  10 Ag 2.94-2.95, 2 Mg 2.94
Ag (0.3341, 0.6667, 0.0000)  10 Ag 2.94-2.95, 2 Mg 2.94
Ag (0.3333, 0.0000, 0.5000)  9 Ag 2.94, 3 Mg 2.94
Ag (0.0000, 0.3333, 0.5000)  9 Ag 2.94, 3 Mg 2.94
Mg (0.6667, 0.6667, 0.5000)  12 Ag 2.94

Output
DFT total energy = -2.73 eV per atom
D(E_F) = 2.7 states/eV/f.u.
space-group type = No. 189
DFT formation energy = -0.085 eV per atom
total magnetization = 0.00 μB per formula unit

[10]
Computed, not measured: a relaxed Mg5Ag7 crystal at the PBE-GGA level of DFT.

Unit cell a=4.6897 b=4.6897 c=12.3366 alpha=89.61 beta=101.30 gamma=120.16
Closest atoms and distances in Å follow each position.
Atoms (fractional coordinates):
Mg (0.7095, 0.8539, 0.5634)  5 Ag 2.63-2.86
Mg (0.2905, 0.1461, 0.4366)  5 Ag 2.63-2.86
Mg (0.2048, 0.6042, 0.8090)  6 Ag 2.72-3.03
Mg (0.7952, 0.3958, 0.1910)  6 Ag 2.72-3.03
Mg (0.0000, 0.0000, 0.0000)  8 Ag 2.62-2.87
Ag (0.5517, 0.7739, 0.3257)  7 Mg 2.86-3.17, 4 Ag 2.97-3.00
Ag (0.4483, 0.2261, 0.6743)  7 Mg 2.86-3.17, 4 Ag 2.97-3.00
Ag (0.8535, 0.9287, 0.7822)  5 Mg 2.62-2.73
Ag (0.1465, 0.0713, 0.2178)  5 Mg 2.62-2.73
Ag (0.6140, 0.3074, 0.9214)  6 Mg 2.87-3.03, 4 Ag 2.97-3.19
Ag (0.0000, 0.5000, 0.5000)  6 Mg 2.81-2.82
Ag (0.3860, 0.6926, 0.0786)  6 Mg 2.87-3.03, 4 Ag 2.97-3.19

Output
DFT total energy = -2.44 eV per atom
D(E_F) = 3.8 states/eV/f.u.
space-group type = No. 12
DFT formation energy = -0.114 eV per atom
total magnetization = 0.00 μB per formula unit

- Which of these has the lowest DFT total energy?
  number 9

- DFT total energy of number 8 (Mg3Ag)?
  -2.00 eV per atom

- Which value of DFT total energy does entry 9 give?
  -2.73 eV per atom

- Which of these has the highest DFT total energy?
  number 8